The following is a DFT calculation (PBE+U) of crystalline LiCoF6 at its relaxed geometry.

```
LiCoF6
1.0
4.874 0.000 0.000
-2.437 4.221 0.000
0.000 0.000 9.033
Li Co F
2 2 12
direct
0.333 0.667 0.250
0.667 0.333 0.750
0.000 0.000 0.000
0.000 0.000 0.500
0.014 0.305 0.114
0.014 0.710 0.386
0.290 0.305 0.386
0.290 0.986 0.114
0.305 0.014 0.614
0.305 0.290 0.886
0.695 0.710 0.114
0.695 0.986 0.386
0.710 0.014 0.886
0.710 0.695 0.614
0.986 0.290 0.614
0.986 0.695 0.886
```

Theoretical density (g/cm3): 3.21
Space group: P-31c, No. 163
Total energy (eV/f.u.): -31.777
Crystal system: trigonal